# Zn2NiRh | Alexandria via LeMat-Bulk | PBE | optimized geometry
# - D(E_F): 4.5 states/eV/f.u.
# - Energy relative to the elements: -0.149 eV per atom
data_Zn2NiRh
_space_group_name_H-M_alt 'P 4 m m'
_space_group_IT_number 99
_cell_length_a 3.0499
_cell_length_b 3.0499
_cell_length_c 5.7074
_cell_angle_alpha 90.00
_cell_angle_beta 90.00
_cell_angle_gamma 90.00
loop_
_space_group_symop_operation_xyz
'x,y,z'
'-y,x,z'
'-x,-y,z'
'y,-x,z'
'-x,y,z'
'y,x,z'
'x,-y,z'
'-y,-x,z'
loop_
_atom_site_label
_atom_site_type_symbol
_atom_site_fract_x
_atom_site_fract_y
_atom_site_fract_z
_atom_site_occupancy
Zn1 Zn 0.0000 0.0000 0.0000 1
Zn2 Zn 0.5000 0.5000 0.2729 1
Ni1 Ni 0.0000 0.0000 0.4876 1
Rh1 Rh 0.5000 0.5000 0.7524 1